Record 1
The following is a PBE-GGA calculation of an optimized crystal structure of RhPbSe, from the Alexandria database. Values from VASP.

Calculated values
mass density = 9.876 g/cm³
uncorrected formation energy = -0.28 eV per atom
energy above the most stable polymorph in this dataset = 0 meV per atom
crystal system = cubic

```
&SYSTEM
  ibrav = 0, nat = 12, ntyp = 3
/
ATOMIC_SPECIES
Se 78.96 Se.upf
Rh 102.91 Rh.upf
Pb 207.20 Pb.upf
CELL_PARAMETERS angstrom
6.396 0.000 0.000
0.000 6.396 0.000
0.000 0.000 6.396
ATOMIC_POSITIONS angstrom
Se 3.996 3.996 3.996
Rh 3.392 3.004 6.202
Pb 2.311 2.311 2.311
Se 0.798 5.598 2.400
Se 5.598 2.400 0.798
Pb 4.085 5.509 0.887
Rh 0.194 0.194 0.194
Pb 5.509 0.887 4.085
Se 2.400 0.798 5.598
Rh 6.202 3.392 3.004
Pb 0.887 4.085 5.509
Rh 3.004 6.202 3.392
```

Record 2
The following is a PBE-GGA calculation of an optimized crystal structure of Tb3TlAg5, from the Alexandria database. Values from VASP.

Calculated values
mass density = 9.770 g/cm³
crystal system = hexagonal
formation enthalpy at 0 K = -0.2362 eV per atom

```
&SYSTEM
  ibrav = 0, nat = 18, ntyp = 3
/
ATOMIC_SPECIES
Tb 158.93 Tb.upf
Ag 107.87 Ag.upf
Tl 204.38 Tl.upf
CELL_PARAMETERS angstrom
6.174 0.000 0.000
0.000 7.628 -4.404
0.000 0.001 8.809
ATOMIC_POSITIONS angstrom
Tb 4.630 7.628 1.418
Tb 1.543 2.587 -1.494
Ag 3.087 5.086 0.001
Tb 4.630 5.041 -2.910
Ag 4.630 5.093 2.941
Ag 1.543 2.536 1.464
Ag 0.000 5.086 0.001
Tb 1.543 0.000 2.987
Ag 1.543 0.001 5.881
Tl 0.000 0.000 0.000
Ag 4.630 7.628 -1.476
Ag 4.630 2.535 -1.463
Ag 1.543 5.093 -2.941
Tb 1.543 5.042 2.911
Tl 3.087 0.000 0.000
Tb 4.630 2.587 1.494
Ag 3.087 2.543 4.404
Ag 0.000 2.543 4.404
```

Record 3
The following is a PBE-GGA calculation of an optimized crystal structure of Li9CdSn2, from the Alexandria database. Values from VASP.

Calculated values
mass density = 2.933 g/cm³
crystal system = trigonal
formation enthalpy at 0 K = -0.0692 eV per atom

```
&SYSTEM
  ibrav = 0, nat = 12, ntyp = 3
/
ATOMIC_SPECIES
Cd 112.41 Cd.upf
Li 6.94 Li.upf
Sn 118.71 Sn.upf
CELL_PARAMETERS angstrom
5.475 0.000 0.000
2.738 4.742 0.000
2.738 1.581 8.990
ATOMIC_POSITIONS angstrom
Cd 0.000 0.000 0.000
Li 5.475 3.161 4.495
Sn 8.213 4.742 3.957
Li 5.475 3.161 8.885
Li 4.059 2.343 2.429
Li 4.059 3.979 6.562
Li 5.475 3.161 0.105
Li 6.892 2.343 2.429
Li 5.475 1.525 6.562
Sn 2.738 1.581 5.033
Li 5.475 4.797 2.429
Li 6.892 3.979 6.562
```

Q: Number 3 is which compound?
A: Li9CdSn2